[1]
Entry from the Alexandria database: VZnAuCl2 after structural relaxation (GGA-PBE).

## Properties
**Theoretical density**: 5.41 g cm⁻³
**Energy relative to the elements, uncorrected**: 0.23 eV/atom
**Spin magnetization**: 0.773 μB per atom
**N(E_F)**: 2.75 states/eV/f.u.
**Volume**: 117.9 Å³/f.u.

The structure in CIF format:
```
data_VZnAuCl2
_cell_length_a 4.6984
_cell_length_b 4.6984
_cell_length_c 5.3412
_cell_angle_alpha 90.00
_cell_angle_beta 90.00
_cell_angle_gamma 90.00
_space_group_name_H-M_alt 'P 4/m m m'
_space_group_IT_number 123
_space_group_name_Hall '-P 4 2'
loop_
_atom_site_label
_atom_site_fract_x
_atom_site_fract_y
_atom_site_fract_z
V1 0.0000 0.0000 0.0000
Zn1 0.5000 0.5000 0.5000
Au1 0.5000 0.5000 0.0000
Cl1 0.0000 0.5000 0.5000
```

---

[2]
Entry from the Alexandria database: Mg4ScAg after structural relaxation (GGA-PBE).

## Properties
**Theoretical density**: 3.18 g cm⁻³
**Spin magnetization**: 0.000 μB per atom
**N(E_F)**: 3.26 states/eV/f.u.
**Formation energy**: -0.0499 eV/atom
**Relative energy among the computed polymorphs**: 30 kJ/mol of formula units
**Volume**: 130.6 Å³/f.u.

The structure in CIF format:
```
data_Mg4ScAg
_cell_length_a 5.2206
_cell_length_b 8.4817
_cell_length_c 5.9744
_cell_angle_alpha 90.00
_cell_angle_beta 99.09
_cell_angle_gamma 90.00
_space_group_name_H-M_alt 'C 1 2/m 1'
_space_group_IT_number 12
loop_
_space_group_symop_operation_xyz
'x,y,z'
'-x,-y,-z'
'-x,y,-z'
'x,-y,z'
'x+1/2,y+1/2,z'
'-x+1/2,-y+1/2,-z'
'-x+1/2,y+1/2,-z'
'x+1/2,-y+1/2,z'
loop_
_atom_site_label
_atom_site_fract_x
_atom_site_fract_y
_atom_site_fract_z
Mg1 0.0700 0.1722 0.2587
Sc1 0.0000 0.5000 0.0000
Ag1 0.0000 0.5000 0.5000
```

---

[3]
Entry from the Alexandria database: SmY2Er3As6 after structural relaxation (GGA-PBE).

## Properties
**Theoretical density**: 7.17 g cm⁻³
**Spin magnetization**: 0.000 μB per atom
**N(E_F)**: 1.83 states/eV/f.u.
**Formation energy**: -1.5307 eV/atom
**Volume**: 296.4 Å³/f.u.

The structure in CIF format:
```
data_SmY2Er3As6
_cell_length_a 17.9482
_cell_length_b 4.1198
_cell_length_c 8.2347
_cell_angle_alpha 90.00
_cell_angle_beta 103.23
_cell_angle_gamma 90.00
_space_group_name_H-M_alt 'C 1 2/m 1'
_space_group_IT_number 12
loop_
_space_group_symop_operation_xyz
'x,y,z'
'-x,-y,-z'
'-x,y,-z'
'x,-y,z'
'x+1/2,y+1/2,z'
'-x+1/2,-y+1/2,-z'
'-x+1/2,y+1/2,-z'
'x+1/2,-y+1/2,z'
loop_
_atom_site_label
_atom_site_fract_x
_atom_site_fract_y
_atom_site_fract_z
Sm1 0.0000 0.0000 0.0000
Y1 0.1672 0.5000 0.3338
Er1 0.0000 0.0000 0.5000
Er2 0.1664 0.5000 0.8326
As1 0.9996 0.5000 0.2555
As2 0.1660 0.0000 0.5847
As3 0.1688 0.0000 0.0823
```

---

[4]
Entry from the Alexandria database: Ac12Tb3Sb5 after structural relaxation (GGA-PBE).

## Properties
**Theoretical density**: 6.40 g cm⁻³
**Energy relative to the elements, uncorrected**: 0.00 eV/atom
**Spin magnetization**: 0.258 μB per atom
**N(E_F)**: 27.99 states/eV/f.u.
**Volume**: 989.0 Å³/f.u.

The structure in CIF format:
```
data_Ac12Tb3Sb5
_cell_length_a 19.9261
_cell_length_b 19.9261
_cell_length_c 19.9261
_cell_angle_alpha 90.00
_cell_angle_beta 90.00
_cell_angle_gamma 90.00
_space_group_name_H-M_alt 'I a -3 d'
_space_group_IT_number 230
_space_group_name_Hall '-I 4bd 2c 3'
loop_
_atom_site_label
_atom_site_fract_x
_atom_site_fract_y
_atom_site_fract_z
Ac1 0.0257 0.0728 0.6472
Tb1 0.0000 0.2500 0.1250
Sb1 0.0000 0.0000 0.0000
Sb2 0.0000 0.2500 0.3750
```